(1)
A plane-wave DFT calculation with PBE was carried out for crystalline PuThSi2 at its relaxed geometry.

The space group is Pmc2_1 (No. 26) and the conventional cell measures 3.8620, 5.8108 and 8.1533 Å, with angles of 90.00, 90.00 and 90.00 degrees. The distinct sites, in fractional coordinates, are Pu at (0.0000, 0.1410, 0.0000), Th at (0.5000, 0.3663, 0.3608), Si at (0.0000, 0.3652, 0.6465) and Si at (0.5000, 0.1188, 0.7151).

As for the energy above the most stable polymorph in this dataset: 0 meV per atom. The calculated volume comes out at 183.0 Å³/cell. The total magnetization is 12.1 μB per cell. As for the uncorrected formation energy: -0.554 eV per atom.

(2)
A plane-wave DFT calculation with PBE was carried out for crystalline Tm2AlZnPd2 at its relaxed geometry.

The space group is Ibam (No. 72) and the conventional cell measures 5.7651, 14.2548 and 5.7620 Å, with angles of 90.00, 90.00 and 90.00 degrees. The distinct sites, in fractional coordinates, are Tm at (0.2304, 0.1718, 0.0000), Al at (0.0000, 0.5000, 0.2500), Zn at (0.0000, 0.0000, 0.2500) and Pd at (0.2310, 0.3798, 0.0000).

For the formation energy, the calculation gives -4.5 eV per formula unit. The calculated volume comes out at 473.5 Å³/cell. The total magnetization is 0.0 μB per cell.

(3)
A plane-wave DFT calculation with PBE was carried out for crystalline SrTe2H at its relaxed geometry.

The space group is R-3m (No. 166, hexagonal axes) and the conventional cell measures 5.2253, 5.2253 and 20.0228 Å, with angles of 90.00, 90.00 and 120.00 degrees. The distinct sites, in fractional coordinates, are Sr at (0.0000, 0.0000, 0.0000), Te at (0.0000, 0.0000, 0.4045) and H at (0.0000, 0.0000, 0.5000).

As for the energy above the most stable polymorph in this dataset: 0 meV per atom. The calculated volume comes out at 473.4 Å³/cell. The total magnetization is 0.0 μB per cell.